Density functional theory data (PBE) for crystalline TaTeNO at its relaxed geometry.

```
TaTeNO
1.0
-3.3156 0.9697 -2.2160
-2.3781 -1.9937 2.6858
-0.7941 6.2069 3.9042
Te N Ta O
2 2 2 2
direct
0.5000 0.0000 0.1682
0.0000 0.5000 0.8318
0.5000 0.0000 0.5481
0.0000 0.5000 0.4519
0.5000 0.5000 0.5000
0.0000 0.0000 0.5000
0.5000 0.5000 0.0000
0.0000 0.0000 0.0000
```

Computed properties:
Total DFT energy (no corrections) (eV/atom): -7.385
Energy above the most stable polymorph in this dataset (meV/atom): 571
Space-group type: P4/nmm (129)